A plane-wave DFT calculation with PBE was carried out for Sc4TaSnN2 after structural relaxation.

Calculated values
density: 6.4 Mg/m³
uncorrected energy: -8.273 eV/atom
SG: P-6m2
V: 132.3 Å³ per cell
spin magnetization: 0.000 μB/atom

Lattice parameters (Å, degrees): 3.2014 3.2014 14.9064 90.00 90.00 120.00
Last column: nearest neighbours and their distance in Å.
Positions (direct):
N1 0.3333 0.6667 0.2434  6 Sc 2.17-2.28
N2 0.3333 0.6667 0.7566  6 Sc 2.17-2.28
Sc1 0.6667 0.3333 0.1668  3 N 2.17
Sc2 0.0000 0.0000 0.3334  3 N 2.28
Sc3 0.0000 0.0000 0.6666  3 N 2.28
Sc4 0.6667 0.3333 0.8332  3 N 2.17
Sn1 0.0000 0.0000 0.0000  6 Sc 3.10, 6 Sn 3.20
Ta1 0.6667 0.3333 0.5000  6 Sc 3.10, 6 Ta 3.20